Below is a relaxed MgBeWO2 crystal, with properties calculated at the GGA+U level.

```
MgBeWO2
1.0
3.697 0.000 0.000
0.000 3.697 0.000
0.000 0.000 4.452
Mg Be W O
1 1 1 2
direct
0.000 0.000 0.000
0.000 0.000 0.500
0.500 0.500 0.500
0.000 0.500 0.000
0.500 0.000 0.000
```

Properties
**E**: -20.554 eV per formula unit
**V**: 12.171 Å³/atom